Entry 1:
! SiPRhBr2 | the Alexandria database | PBE | optimized geometry; values from VASP
&SYSTEM
  ibrav = 0, nat = 5, ntyp = 4
/
ATOMIC_SPECIES
Rh 102.91 Rh.upf
Si 28.09 Si.upf
Br 79.90 Br.upf
P 30.97 P.upf
CELL_PARAMETERS angstrom
5.234 0.000 0.000
0.000 4.415 0.000
0.000 0.000 5.234
ATOMIC_POSITIONS crystal
Rh 0.000 0.000 0.000
Si 0.500 0.500 0.500
Br 0.000 0.000 0.500
Br 0.500 0.000 0.000
P 0.000 0.500 0.000
! SG = P4/mmm, No. 123


Entry 2:
! Sm8PRh3Br4 | the Alexandria database | PBE | optimized geometry; values from VASP
&SYSTEM
  ibrav = 0, nat = 16, ntyp = 4
/
ATOMIC_SPECIES
Sm 150.36 Sm.upf
Rh 102.91 Rh.upf
Br 79.90 Br.upf
P 30.97 P.upf
CELL_PARAMETERS angstrom
-7.819 -2.669 0.023
2.613 -7.623 3.952
1.954 7.095 3.754
ATOMIC_POSITIONS crystal
Sm 0.733 0.698 0.465
Sm 0.723 0.695 0.959
Rh 0.500 0.500 0.500
Sm 0.764 0.305 0.041
Br 0.500 0.000 0.000
Br 0.000 0.000 0.000
Rh 0.000 0.500 0.500
Rh 0.500 0.500 0.000
Sm 0.764 0.305 0.528
Br 0.500 0.000 0.500
P 0.000 0.500 0.000
Sm 0.267 0.302 0.535
Sm 0.277 0.305 0.041
Br 0.000 0.000 0.500
Sm 0.236 0.695 0.959
Sm 0.236 0.695 0.472
! SG = R-3m, No. 166


Formation energy (no corrections) for the records above, in order: 571.2 -1122.5 meV/atom